Record 1
DFT (PBE) results for a relaxed ErTaPO crystal.

a b c (Å): 3.741 7.102 5.618
angles (deg): 90.00 90.00 90.00
Element x y z (fractional)
Er 0.000 0.215 0.000
Er 0.000 0.785 0.500
Ta 0.500 0.405 0.500
Ta 0.500 0.595 0.000
P 0.000 0.172 0.485
P 0.000 0.828 0.985
O 0.500 0.322 0.862
O 0.500 0.678 0.362

The value obtained for the energy above the most stable polymorph in this dataset is 488 meV per atom. Its volume is 149.3 Å³/cell. The raw total energy is -8.141 eV per atom.

=====

Record 2
DFT (PBE) results for a relaxed KWAuSe3 crystal.

a b c (Å): 8.100 8.100 10.183
angles (deg): 90.00 90.00 153.85
Element x y z (fractional)
K 0.245 0.755 0.750
K 0.755 0.245 0.250
W 0.000 0.000 0.000
W 0.000 0.000 0.500
Au 0.441 0.559 0.250
Au 0.559 0.441 0.750
Se 0.068 0.932 0.250
Se 0.382 0.618 0.021
Se 0.382 0.618 0.479
Se 0.618 0.382 0.521
Se 0.618 0.382 0.979
Se 0.932 0.068 0.750

Its volume is 294.5 Å³/cell. The raw total energy is -4.856 eV per atom.

=====

Record 3
DFT (PBE) results for a relaxed LaAgPbS3 crystal.

a b c (Å): 7.578 4.164 9.889
angles (deg): 90.00 103.52 90.00
Element x y z (fractional)
La 0.218 0.250 0.149
La 0.782 0.750 0.851
Ag 0.395 0.750 0.416
Ag 0.605 0.250 0.584
Pb 0.211 0.750 0.690
Pb 0.789 0.250 0.310
S 0.053 0.250 0.856
S 0.208 0.250 0.451
S 0.481 0.750 0.183
S 0.519 0.250 0.817
S 0.792 0.750 0.549
S 0.947 0.750 0.144

The value obtained for the energy above the most stable polymorph in this dataset is 42 meV per atom. Its volume is 303.4 Å³/cell. The raw total energy is -5.028 eV per atom.

=====

Record 4
DFT (PBE) results for a relaxed HoEr4Lu2Te2Pd2 crystal.

a b c (Å): 9.321 9.321 9.321
angles (deg): 155.72 67.19 118.44
Element x y z (fractional)
Ho 0.000 0.000 0.000
Er 0.091 0.735 0.356
Er 0.380 0.735 0.644
Er 0.453 0.584 0.870
Er 0.714 0.584 0.130
Lu 0.058 0.375 0.683
Lu 0.692 0.375 0.317
Te 0.339 0.339 0.000
Te 0.735 0.235 0.500
Pd 0.305 0.068 0.236
Pd 0.832 0.068 0.764

Its volume is 290.5 Å³/cell. The raw total energy is -5.268 eV per atom.